Yb2RhAu | PBE | relaxed

a = 6.903 Å, b = 6.903 Å, c = 6.903 Å
α = 90.00°, β = 90.00°, γ = 90.00°
Space group Fm-3m (No. 225)
One atom of each set of equivalent atoms:
Yb1 0.250 0.250 0.250 [8 per cell]
Rh1 0.000 0.000 0.000 [4 per cell]
Au1 0.000 0.000 0.500 [4 per cell]

Output
Magnetization ... 0.0 μB per cell
DFT total energy ... -4.19 eV/atom
Formation enthalpy at 0 K ... -3.1 eV/f.u.